# 1
Material: FeAgBr2
Method: DFT, GGA-PBE
State: relaxed

a = 5.509 Å, b = 5.509 Å, c = 3.687 Å
α = 69.46°, β = 69.46°, γ = 89.45°
Sites, in units of the cell vectors:
1 Fe 0.500 0.000 0.500
2 Br 0.500 0.500 0.000
3 Br 0.000 0.000 0.000
4 Ag 0.000 0.500 0.500

VASP energy, eV per formula unit: -13.7
Size of the total moment, μB/cell: 3.19
Energy above the most stable polymorph in this dataset, meV per atom: 273
DOS at the Fermi energy, states/eV/cell: 2.91
SG: C2/m
Formation energy from raw total energies, meV per atom: 246


# 2
Material: TiZn2AgSb
Method: DFT, GGA-PBE
State: relaxed

a = 5.051 Å, b = 5.126 Å, c = 5.051 Å
α = 90.00°, β = 90.00°, γ = 90.00°
Sites, in units of the cell vectors:
1 Zn 0.000 0.000 0.500
2 Sb 0.000 0.000 0.000
3 Zn 0.500 0.000 0.000
4 Ag 0.000 0.500 0.000
5 Ti 0.500 0.500 0.500

VASP energy, eV per formula unit: -12.2
Size of the total moment, μB/cell: 0.00
DOS at the Fermi energy, states/eV/cell: 5.35
SG: P4/mmm
Formation energy from raw total energies, meV per atom: 1038


# 3
Material: DyHo6Al2
Method: DFT, GGA-PBE
State: relaxed

a = 3.646 Å, b = 6.494 Å, c = 11.501 Å
α = 75.42°, β = 80.88°, γ = 73.70°
Sites, in units of the cell vectors:
1 Ho 0.689 0.209 0.412
2 Ho 0.021 0.289 0.669
3 Ho 0.312 0.499 0.876
4 Ho 0.688 0.501 0.124
5 Al 0.352 0.090 0.206
6 Dy 0.000 0.000 0.000
7 Ho 0.311 0.791 0.588
8 Ho 0.979 0.711 0.331
9 Al 0.648 0.910 0.794

VASP energy, eV per formula unit: -41.1
Size of the total moment, μB/cell: 0.00
Energy above the most stable polymorph in this dataset, meV per atom: 0
Formation energy, eV/atom: -0.169
DOS at the Fermi energy, states/eV/cell: 10.90
SG: C2/m


# 4
Material: FeTcPt4
Method: DFT, GGA-PBE
State: relaxed

a = 2.756 Å, b = 2.756 Å, c = 11.767 Å
α = 90.00°, β = 90.00°, γ = 90.00°
Sites, in units of the cell vectors:
1 Tc 0.000 0.000 0.000
2 Pt 0.500 0.500 0.162
3 Pt 0.000 0.000 0.345
4 Pt 0.000 0.000 0.655
5 Fe 0.500 0.500 0.500
6 Pt 0.500 0.500 0.838

VASP energy, eV per formula unit: -44.3
Size of the total moment, μB/cell: 3.72
Energy above the most stable polymorph in this dataset, meV per atom: 0
Formation energy, eV/atom: -0.216
DOS at the Fermi energy, states/eV/cell: 4.45
SG: P4/mmm


# 5
Material: Rb2GeC
Method: DFT, GGA-PBE
State: relaxed

a = 5.568 Å, b = 5.568 Å, c = 5.568 Å
α = 60.00°, β = 60.00°, γ = 60.00°
Sites, in units of the cell vectors:
1 C 0.000 0.000 0.000
2 Rb 0.750 0.750 0.750
3 Ge 0.500 0.500 0.500
4 Rb 0.250 0.250 0.250

VASP energy, eV per formula unit: -9.1
Size of the total moment, μB/cell: 0.00
Energy above the most stable polymorph in this dataset, meV per atom: 961
Formation energy, eV/atom: 1.669
DOS at the Fermi energy, states/eV/cell: 2.72
SG: Fm-3m


# 6
Material: LaZrAg4
Method: DFT, GGA-PBE
State: relaxed

a = 5.694 Å, b = 5.694 Å, c = 5.694 Å
α = 60.00°, β = 60.00°, γ = 60.00°
Sites, in units of the cell vectors:
1 Zr 0.000 0.000 0.000
2 Ag 0.374 0.374 0.374
3 La 0.750 0.750 0.750
4 Ag 0.877 0.374 0.374
5 Ag 0.374 0.877 0.374
6 Ag 0.374 0.374 0.877

VASP energy, eV per formula unit: -24.6
Size of the total moment, μB/cell: 1.70
Formation energy, eV/atom: 0.043
DOS at the Fermi energy, states/eV/cell: 7.03
SG: F-43m